Entry from the Alexandria database: a geometry-optimized SiBiI2O structure (PBE).

E_tot = -3.198 eV/atom
excess energy over the best structure of this formula in the dataset = 552 meV/atom
space-group type = P4/mmm (123)
N(E_F) = 2.858 states/eV per cell
uncorrected formation energy = 1.373 eV/f.u.
crystal system = tetragonal

abc: 6.253 6.253 4.284
angles: 90.00 90.00 90.00
Fractional positions:
I: 0.000 0.500 0.000
O: 0.000 0.000 0.500
I: 0.500 0.000 0.000
Si: 0.500 0.500 0.500
Bi: 0.000 0.000 0.000